(1)
Computed, not measured: TlPRu after structural relaxation at the PBE-GGA level of DFT.

abc: 4.042 4.039 9.190
angles: 90.00 90.00 90.00
Element x y z (fractional)
1 Ru 0.494 0.148 0.227
2 Ru 0.994 0.648 0.227
3 Tl 0.999 0.148 0.643
4 Tl 0.499 0.648 0.810
5 P 0.994 0.148 0.347
6 P 0.494 0.648 0.107

Calculated values
- Energy: -5.923 eV per atom
- D(E_F): 1.12 states/eV/f.u.
- Total magnetic moment: 0.000 μB per cell
- Energy relative to the elements: -0.239 eV per atom

(2)
Computed, not measured: CeNbZn4 after structural relaxation at the PBE-GGA level of DFT.

abc: 5.301 5.301 5.301
angles: 60.00 60.00 60.00
Element x y z (fractional)
1 Nb 0.000 0.000 0.000
2 Zn 0.626 0.626 0.121
3 Zn 0.626 0.121 0.626
4 Zn 0.626 0.626 0.626
5 Zn 0.121 0.626 0.626
6 Ce 0.250 0.250 0.250

Calculated values
- Energy: -3.654 eV per atom
- D(E_F): 2.37 states/eV/f.u.
- Total magnetic moment: 2.133 μB per cell
- Energy relative to the elements: -0.137 eV per atom

- Which formula does entry 1 have?
  TlPRu

- Among the records above, which one has the lowest energy?
  TlPRu

- Which of these has the lowest energy relative to the elements?
  TlPRu

- What is the formula in the second record?
  CeNbZn4